[1]
A plane-wave DFT calculation with PBE was carried out for CeY2Pb after structural relaxation.

## Properties
Energy relative to the lowest polymorph listed for this composition ... 138.0 meV per atom
Magnetic moment ... 1.10 μB/f.u.
Energy ... -23.0 eV per cell

CIF file:
```
data_CeY2Pb
_chemical_formula_sum 'Ce1 Y2 Pb1'
_cell_length_a 11.246
_cell_length_b 11.246
_cell_length_c 11.246
_cell_angle_alpha 18.29
_cell_angle_beta 18.29
_cell_angle_gamma 18.29
_space_group_name_H-M_alt 'P 1'
_space_group_IT_number 1
loop_
_space_group_symop_operation_xyz
'x,y,z'
loop_
_atom_site_label
_atom_site_type_symbol
_atom_site_fract_x
_atom_site_fract_y
_atom_site_fract_z
Ce1 Ce 0.000 0.000 0.000
Y1 Y 0.246 0.246 0.246
Y2 Y 0.420 0.420 0.420
Pb1 Pb 0.833 0.833 0.833
```

[2]
A plane-wave DFT calculation with PBE was carried out for CeY2Pb after structural relaxation.

## Properties
Energy relative to the lowest polymorph listed for this composition ... 0.0 meV per atom
Magnetic moment ... 0.53 μB/f.u.
Energy ... -23.6 eV per cell

CIF file:
```
data_CeY2Pb
_chemical_formula_sum 'Ce1 Y2 Pb1'
_cell_length_a 4.959
_cell_length_b 4.959
_cell_length_c 4.687
_cell_angle_alpha 90.00
_cell_angle_beta 90.00
_cell_angle_gamma 90.00
_space_group_name_H-M_alt 'P 1'
_space_group_IT_number 1
loop_
_space_group_symop_operation_xyz
'x,y,z'
loop_
_atom_site_label
_atom_site_type_symbol
_atom_site_fract_x
_atom_site_fract_y
_atom_site_fract_z
Ce1 Ce 0.000 0.000 0.000
Y1 Y 0.000 0.500 0.500
Y2 Y 0.500 0.000 0.500
Pb1 Pb 0.500 0.500 0.000
```

[3]
A plane-wave DFT calculation with PBE was carried out for CeYPb after structural relaxation.

## Properties
Magnetic moment ... 0.61 μB/f.u.
Energy ... -33.8 eV per cell

CIF file:
```
data_CeYPb
_chemical_formula_sum 'Ce2 Y2 Pb2'
_cell_length_a 6.074
_cell_length_b 6.074
_cell_length_c 8.991
_cell_angle_alpha 116.37
_cell_angle_beta 116.37
_cell_angle_gamma 38.58
_space_group_name_H-M_alt 'P 1'
_space_group_IT_number 1
loop_
_space_group_symop_operation_xyz
'x,y,z'
loop_
_atom_site_label
_atom_site_type_symbol
_atom_site_fract_x
_atom_site_fract_y
_atom_site_fract_z
Ce1 Ce 0.179 0.179 0.028
Ce2 Ce 0.821 0.821 0.972
Y1 Y 0.429 0.429 0.672
Y2 Y 0.571 0.571 0.328
Pb1 Pb 0.147 0.147 0.651
Pb2 Pb 0.853 0.853 0.349
```

[4]
A plane-wave DFT calculation with PBE was carried out for CeYPb2 after structural relaxation.

## Properties
Magnetic moment ... 1.02 μB/f.u.
Energy ... -21.0 eV per cell

CIF file:
```
data_CeYPb2
_chemical_formula_sum 'Ce1 Y1 Pb2'
_cell_length_a 10.477
_cell_length_b 10.477
_cell_length_c 10.477
_cell_angle_alpha 20.28
_cell_angle_beta 20.28
_cell_angle_gamma 20.28
_space_group_name_H-M_alt 'P 1'
_space_group_IT_number 1
loop_
_space_group_symop_operation_xyz
'x,y,z'
loop_
_atom_site_label
_atom_site_type_symbol
_atom_site_fract_x
_atom_site_fract_y
_atom_site_fract_z
Ce1 Ce 0.000 0.000 0.000
Y1 Y 0.500 0.500 0.500
Pb1 Pb 0.248 0.248 0.248
Pb2 Pb 0.752 0.752 0.752
```

[5]
A plane-wave DFT calculation with PBE was carried out for CeYPb2 after structural relaxation.

## Properties
Magnetic moment ... 0.89 μB/f.u.
Energy ... -21.6 eV per cell

CIF file:
```
data_CeYPb2
_chemical_formula_sum 'Ce1 Y1 Pb2'
_cell_length_a 4.531
_cell_length_b 6.355
_cell_length_c 6.355
_cell_angle_alpha 42.23
_cell_angle_beta 90.00
_cell_angle_gamma 90.00
_space_group_name_H-M_alt 'P 1'
_space_group_IT_number 1
loop_
_space_group_symop_operation_xyz
'x,y,z'
loop_
_atom_site_label
_atom_site_type_symbol
_atom_site_fract_x
_atom_site_fract_y
_atom_site_fract_z
Ce1 Ce 0.000 0.000 0.000
Y1 Y 0.500 0.740 0.740
Pb1 Pb 0.000 0.269 0.269
Pb2 Pb 0.500 0.468 0.468
```

[6]
A plane-wave DFT calculation with PBE was carried out for CeYPb after structural relaxation.

## Properties
Magnetic moment ... 1.26 μB/f.u.
Energy ... -16.8 eV per cell

CIF file:
```
data_CeYPb
_chemical_formula_sum 'Ce1 Y1 Pb1'
_cell_length_a 5.867
_cell_length_b 5.867
_cell_length_c 5.867
_cell_angle_alpha 138.39
_cell_angle_beta 138.39
_cell_angle_gamma 60.31
_space_group_name_H-M_alt 'P 1'
_space_group_IT_number 1
loop_
_space_group_symop_operation_xyz
'x,y,z'
loop_
_atom_site_label
_atom_site_type_symbol
_atom_site_fract_x
_atom_site_fract_y
_atom_site_fract_z
Ce1 Ce 0.000 0.000 0.000
Y1 Y 0.309 0.309 0.000
Pb1 Pb 0.660 0.660 0.000
```

[7]
A plane-wave DFT calculation with PBE was carried out for Ce2YPb2 after structural relaxation.

## Properties
Magnetic moment ... 0.43 μB/f.u.
Energy ... -27.0 eV per cell

CIF file:
```
data_Ce2YPb2
_chemical_formula_sum 'Ce2 Y1 Pb2'
_cell_length_a 4.324
_cell_length_b 4.324
_cell_length_c 8.354
_cell_angle_alpha 104.58
_cell_angle_beta 104.58
_cell_angle_gamma 90.48
_space_group_name_H-M_alt 'P 1'
_space_group_IT_number 1
loop_
_space_group_symop_operation_xyz
'x,y,z'
loop_
_atom_site_label
_atom_site_type_symbol
_atom_site_fract_x
_atom_site_fract_y
_atom_site_fract_z
Ce1 Ce 0.231 0.769 0.000
Ce2 Ce 0.769 0.231 0.000
Y1 Y 0.000 0.000 0.500
Pb1 Pb 0.418 0.418 0.309
Pb2 Pb 0.582 0.582 0.691
```

[8]
A plane-wave DFT calculation with PBE was carried out for Ce8YPb6 after structural relaxation.

## Properties
Magnetic moment ... 10.54 μB/f.u.
Energy ... -79.4 eV per cell

CIF file:
```
data_Ce8YPb6
_chemical_formula_sum 'Ce8 Y1 Pb6'
_cell_length_a 8.567
_cell_length_b 8.567
_cell_length_c 8.567
_cell_angle_alpha 67.50
_cell_angle_beta 67.50
_cell_angle_gamma 67.50
_space_group_name_H-M_alt 'P 1'
_space_group_IT_number 1
loop_
_space_group_symop_operation_xyz
'x,y,z'
loop_
_atom_site_label
_atom_site_type_symbol
_atom_site_fract_x
_atom_site_fract_y
_atom_site_fract_z
Ce1 Ce 0.062 0.408 0.749
Ce2 Ce 0.166 0.166 0.166
Ce3 Ce 0.251 0.938 0.592
Ce4 Ce 0.408 0.749 0.062
Ce5 Ce 0.592 0.251 0.938
Ce6 Ce 0.749 0.062 0.408
Ce7 Ce 0.834 0.834 0.834
Ce8 Ce 0.938 0.592 0.251
Y1 Y 0.500 0.500 0.500
Pb1 Pb 0.104 0.751 0.426
Pb2 Pb 0.249 0.574 0.896
Pb3 Pb 0.426 0.104 0.751
Pb4 Pb 0.574 0.896 0.249
Pb5 Pb 0.751 0.426 0.104
Pb6 Pb 0.896 0.249 0.574
```

[9]
A plane-wave DFT calculation with PBE was carried out for Ce5YPb5 after structural relaxation.

## Properties
Magnetic moment ... 3.84 μB/f.u.
Energy ... -56.6 eV per cell

CIF file:
```
data_Ce5YPb5
_chemical_formula_sum 'Ce5 Y1 Pb5'
_cell_length_a 7.894
_cell_length_b 7.894
_cell_length_c 8.855
_cell_angle_alpha 106.28
_cell_angle_beta 106.28
_cell_angle_gamma 47.84
_space_group_name_H-M_alt 'P 1'
_space_group_IT_number 1
loop_
_space_group_symop_operation_xyz
'x,y,z'
loop_
_atom_site_label
_atom_site_type_symbol
_atom_site_fract_x
_atom_site_fract_y
_atom_site_fract_z
Ce1 Ce 0.000 0.000 0.000
Ce2 Ce 0.335 0.335 0.165
Ce3 Ce 0.335 0.335 0.669
Ce4 Ce 0.665 0.665 0.331
Ce5 Ce 0.665 0.665 0.835
Y1 Y 0.000 0.000 0.500
Pb1 Pb 0.165 0.165 0.834
Pb2 Pb 0.167 0.167 0.331
Pb3 Pb 0.500 0.500 0.500
Pb4 Pb 0.833 0.833 0.669
Pb5 Pb 0.835 0.835 0.166
```

[10]
A plane-wave DFT calculation with PBE was carried out for CeYZnPb after structural relaxation.

## Properties
Magnetic moment ... 1.03 μB/f.u.
Energy ... -18.7 eV per cell

CIF file:
```
data_CeYZnPb
_chemical_formula_sum 'Ce1 Y1 Zn1 Pb1'
_cell_length_a 5.319
_cell_length_b 5.319
_cell_length_c 5.319
_cell_angle_alpha 60.00
_cell_angle_beta 60.00
_cell_angle_gamma 60.00
_space_group_name_H-M_alt 'P 1'
_space_group_IT_number 1
loop_
_space_group_symop_operation_xyz
'x,y,z'
loop_
_atom_site_label
_atom_site_type_symbol
_atom_site_fract_x
_atom_site_fract_y
_atom_site_fract_z
Ce1 Ce 0.000 0.000 0.000
Y1 Y 0.500 0.500 0.500
Zn1 Zn 0.750 0.750 0.750
Pb1 Pb 0.250 0.250 0.250
```